[1]
NaAl2B: optimized geometry, PBE-GGA. Values from VASP.

Properties
Magnetic moment   0.000 μB per formula unit
E_form   0.42 eV/atom
Calculated total energy   -3.449 eV/atom
Crystal system   tetragonal
Distance to the lowest polymorph of the same formula   0 meV/atom

Cell and atoms, written as Quantum ESPRESSO input:
```
&SYSTEM
  ibrav = 0, nat = 8, ntyp = 3
/
ATOMIC_SPECIES
Na 22.99 Na.upf
B 10.81 B.upf
Al 26.98 Al.upf
CELL_PARAMETERS angstrom
-2.537 -6.837 0.406
6.481 -2.256 2.501
1.162 -4.097 3.957
ATOMIC_POSITIONS angstrom
Na 0.299 -7.741 2.909
B 4.808 -5.450 3.956
Na 0.000 0.000 0.000
Al 3.733 -4.073 2.650
Al 3.580 -10.771 5.225
B 1.972 -4.547 1.454
Al -0.194 -4.796 1.509
Al 3.094 -6.742 4.345
```

---

[2]
AsBrN3: optimized geometry, PBE-GGA. Values from VASP.

Properties
Magnetic moment   0.000 μB per formula unit
Calculated total energy   -3.594 eV/atom
E_form (uncorrected)   2666 meV/atom
Crystal system   cubic

Cell and atoms, written as Quantum ESPRESSO input:
```
&SYSTEM
  ibrav = 0, nat = 5, ntyp = 3
/
ATOMIC_SPECIES
Br 79.90 Br.upf
N 14.01 N.upf
As 74.92 As.upf
CELL_PARAMETERS angstrom
3.896 0.000 0.000
0.000 3.896 0.000
0.000 0.000 3.896
ATOMIC_POSITIONS angstrom
Br 0.000 0.000 0.000
N 0.000 1.948 0.000
N 1.948 0.000 0.000
N 0.000 0.000 1.948
As 1.948 1.948 1.948
```

---

[3]
Nd2NbGa: optimized geometry, PBE-GGA. Values from VASP.

Properties
Magnetic moment   1.124 μB per formula unit
E_form   0.43 eV/atom
Calculated total energy   -5.224 eV/atom
Crystal system   trigonal

Cell and atoms, written as Quantum ESPRESSO input:
```
&SYSTEM
  ibrav = 0, nat = 4, ntyp = 3
/
ATOMIC_SPECIES
Nd 144.24 Nd.upf
Ga 69.72 Ga.upf
Nb 92.91 Nb.upf
CELL_PARAMETERS angstrom
-2.505 -2.114 -0.005
0.506 -3.140 -0.792
1.314 -4.122 10.395
ATOMIC_POSITIONS angstrom
Nd -1.459 -5.899 2.106
Nd 0.775 -3.477 7.492
Ga -0.342 -4.688 4.799
Nb 0.000 0.000 0.000
```

---

[4]
ErPaRh3: optimized geometry, PBE-GGA. Values from VASP.

Properties
Magnetic moment   0.000 μB per formula unit
E_form   -0.77 eV/atom
Calculated total energy   -7.992 eV/atom
Crystal system   orthorhombic

Cell and atoms, written as Quantum ESPRESSO input:
```
&SYSTEM
  ibrav = 0, nat = 10, ntyp = 3
/
ATOMIC_SPECIES
Rh 102.91 Rh.upf
Er 167.26 Er.upf
Pa 231.04 Pa.upf
CELL_PARAMETERS angstrom
-0.907 2.342 -3.386
-2.590 -4.419 -2.363
-7.619 3.490 1.825
ATOMIC_POSITIONS angstrom
Rh -1.749 -1.038 -2.874
Er -6.139 2.721 -1.727
Pa -2.880 1.666 -3.324
Pa -8.236 -0.252 -0.599
Rh -0.454 1.171 -1.693
Rh -3.823 -0.657 -4.679
Rh -7.124 0.410 -3.057
Er -4.978 -1.308 -2.197
Rh -7.293 2.071 0.755
Rh -3.993 1.004 -0.867
```

---

[5]
RePtW2: optimized geometry, PBE-GGA. Values from VASP.

Properties
Magnetic moment   0.000 μB per formula unit
E_form   0.10 eV/atom
Calculated total energy   -10.999 eV/atom
Crystal system   trigonal
Distance to the lowest polymorph of the same formula   195 meV/atom

Cell and atoms, written as Quantum ESPRESSO input:
```
&SYSTEM
  ibrav = 0, nat = 4, ntyp = 3
/
ATOMIC_SPECIES
Pt 195.08 Pt.upf
W 183.84 W.upf
Re 186.21 Re.upf
CELL_PARAMETERS angstrom
-5.189 -5.938 4.938
-2.724 -6.338 6.244
-4.406 -4.217 7.027
ATOMIC_POSITIONS angstrom
Pt -3.080 -4.123 4.552
W -0.019 -0.025 0.028
Re -9.239 -12.369 13.657
W -6.141 -8.221 9.077
```

---

[6]
Cd2In6Hg: optimized geometry, PBE-GGA. Values from VASP.

Properties
Magnetic moment   0.000 μB per formula unit
E_form   0.01 eV/atom
Calculated total energy   -2.048 eV/atom
Crystal system   tetragonal
Distance to the lowest polymorph of the same formula   0 meV/atom

Cell and atoms, written as Quantum ESPRESSO input:
```
&SYSTEM
  ibrav = 0, nat = 18, ntyp = 3
/
ATOMIC_SPECIES
In 114.82 In.upf
Cd 112.41 Cd.upf
Hg 200.59 Hg.upf
CELL_PARAMETERS angstrom
4.748 0.000 0.000
0.000 9.898 0.000
0.001 0.000 9.899
ATOMIC_POSITIONS angstrom
In 4.748 3.394 1.553
Cd 4.748 3.232 8.179
In 2.375 8.208 0.058
In 0.000 0.057 1.690
In 2.374 1.555 6.502
Cd 0.001 6.666 1.719
In 0.001 6.504 8.345
In 4.748 3.259 4.890
In 2.375 8.343 3.396
In 0.001 6.639 5.008
In 4.749 9.841 8.208
In 2.374 1.690 9.840
In 2.375 4.892 6.639
Hg 0.000 0.000 4.949
Cd 2.375 8.181 6.668
Cd 2.374 1.717 3.230
In 2.374 5.006 3.259
Hg 2.374 4.949 0.000
```

---

[7]
TbMgPdAu: optimized geometry, PBE-GGA. Values from VASP.

Properties
Magnetic moment   0.000 μB per formula unit
E_form   -0.77 eV/atom
Calculated total energy   -4.447 eV/atom
Crystal system   cubic

Cell and atoms, written as Quantum ESPRESSO input:
```
&SYSTEM
  ibrav = 0, nat = 4, ntyp = 4
/
ATOMIC_SPECIES
Tb 158.93 Tb.upf
Mg 24.30 Mg.upf
Pd 106.42 Pd.upf
Au 196.97 Au.upf
CELL_PARAMETERS angstrom
-3.433 1.854 2.891
0.658 0.078 4.810
0.763 4.220 2.278
ATOMIC_POSITIONS angstrom
Tb -1.509 4.613 7.484
Mg -0.503 1.538 2.495
Pd -1.006 3.076 4.989
Au 0.000 0.000 0.000
```

---

[8]
TaCr2Cl: optimized geometry, PBE-GGA. Values from VASP.

Properties
Magnetic moment   0.310 μB per formula unit
Calculated total energy   -7.579 eV/atom
E_form (uncorrected)   657 meV/atom
Crystal system   orthorhombic
Distance to the lowest polymorph of the same formula   568 meV/atom

Cell and atoms, written as Quantum ESPRESSO input:
```
&SYSTEM
  ibrav = 0, nat = 4, ntyp = 3
/
ATOMIC_SPECIES
Cr 52.00 Cr.upf
Cl 35.45 Cl.upf
Ta 180.95 Ta.upf
CELL_PARAMETERS angstrom
2.910 0.000 0.000
0.000 4.362 0.000
0.000 0.000 4.794
ATOMIC_POSITIONS angstrom
Cr 0.000 0.000 0.000
Cr 1.455 2.181 0.000
Cl 0.000 2.181 2.397
Ta 1.455 0.000 2.397
```